Record 1
Crystalline AcOsRh2O8 at its relaxed geometry. Source: Alexandria via LeMat-Bulk, functional GGA-PBE.

a = 4.768 Å, b = 4.769 Å, c = 6.758 Å
α = 89.96°, β = 89.96°, γ = 88.27°
Atoms (fractional coordinates):
1 O 0.201 0.798 0.203
2 O 0.799 0.202 0.797
3 O 0.799 0.202 0.203
4 O 0.707 0.708 0.000
5 O 0.293 0.292 0.000
6 Rh 0.500 0.500 0.761
7 Ac 0.000 0.000 0.500
8 Os 0.000 0.000 0.000
9 O 0.201 0.798 0.797
10 Rh 0.500 0.500 0.239
11 O 0.337 0.334 0.500
12 O 0.663 0.666 0.500

Properties
Energy relative to the elements, uncorrected in eV per formula unit: -14.9
Fermi-level density of states in states/eV per atom: 0.33
Crystal system: monoclinic

Record 2
Crystalline Li2TiTe at its relaxed geometry. Source: Alexandria via LeMat-Bulk, functional GGA-PBE.

a = 7.954 Å, b = 7.954 Å, c = 6.243 Å
α = 50.43°, β = 50.43°, γ = 90.00°
Site moments in Bohr magnetons follow the coordinates.
Atoms (fractional coordinates):
1 Ti 0.250 0.750 0.500  1.27
2 Li 0.875 0.909 0.750  0.04
3 Li 0.659 0.125 0.250  0.03
4 Ti 0.500 0.500 0.000  1.25
5 Te 0.750 0.250 0.500  -0.04
6 Li 0.375 0.341 0.750  0.04
7 Li 0.091 0.625 0.250  0.03
8 Te 0.000 0.000 0.000  -0.04

Properties
Energy relative to the elements, uncorrected in eV per formula unit: 0.0
Fermi-level density of states in states/eV per atom: 0.83
Crystal system: tetragonal

Record 3
Crystalline TcSn2Mo at its relaxed geometry. Source: Alexandria via LeMat-Bulk, functional GGA-PBE.

a = 5.585 Å, b = 4.583 Å, c = 13.061 Å
α = 90.00°, β = 109.06°, γ = 90.00°
Atoms (fractional coordinates):
1 Sn 0.250 0.500 0.209
2 Sn 0.390 0.500 0.935
3 Tc 0.954 0.500 0.992
4 Sn 0.250 0.000 0.709
5 Sn 0.715 0.500 0.781
6 Mo 0.707 0.000 0.657
7 Sn 0.715 0.000 0.281
8 Mo 0.707 0.500 0.157
9 Tc 0.954 0.000 0.492
10 Sn 0.813 0.500 0.557
11 Sn 0.813 0.000 0.057
12 Tc 0.335 0.500 0.574
13 Mo 0.027 0.500 0.380
14 Sn 0.390 0.000 0.435
15 Mo 0.027 0.000 0.880
16 Tc 0.335 0.000 0.074

Properties
Fermi-level density of states in states/eV per atom: 0.68
Polymorph energy (0 for the lowest one) in eV per formula unit: 0.72
Crystal system: monoclinic
ΔE_f in eV/atom: 0.171

Copy entry 1 word for word.
Crystalline AcOsRh2O8 at its relaxed geometry. Source: Alexandria via LeMat-Bulk, functional GGA-PBE.

a = 4.768 Å, b = 4.769 Å, c = 6.758 Å
α = 89.96°, β = 89.96°, γ = 88.27°
Atoms (fractional coordinates):
1 O 0.201 0.798 0.203
2 O 0.799 0.202 0.797
3 O 0.799 0.202 0.203
4 O 0.707 0.708 0.000
5 O 0.293 0.292 0.000
6 Rh 0.500 0.500 0.761
7 Ac 0.000 0.000 0.500
8 Os 0.000 0.000 0.000
9 O 0.201 0.798 0.797
10 Rh 0.500 0.500 0.239
11 O 0.337 0.334 0.500
12 O 0.663 0.666 0.500

Properties
Energy relative to the elements, uncorrected in eV per formula unit: -14.9
Fermi-level density of states in states/eV per atom: 0.33
Crystal system: monoclinic

- What is the formula in the second record?
  Li2TiTe

- Which of these has the highest Fermi-level density of states?
  Li2TiTe

- The lowest Fermi-level density of states belongs to which entry?
  AcOsRh2O8